Density functional theory data (GGA+U) for a relaxed structure of CaVO2F.

The value obtained for the magnetization is 2.00 μB per formula unit. The calculation puts the volume at 77.7 Å³/f.u. The calculation puts the total DFT energy (no corrections) at -27.121 eV/f.u. The symmetry is P4/mmm.

Cell lengths 4.354, 4.354, 4.097 Å; angles 90.00, 90.00, 90.00 degrees
Atoms (fractional coordinates):
Ca  0.000  0.000  0.000
V  0.500  0.500  0.500
O  0.000  0.500  0.000
O  0.500  0.000  0.000
F  0.000  0.000  0.500